(1)
VASP calculation (PBE-GGA) on crystalline BeTeF3 at its relaxed geometry.

Results
As for the symmetry: Pm-3m. The energy above the most stable polymorph in this dataset is 0 meV/atom. For the uncorrected formation energy, the calculation gives -7.04 eV per formula unit. For the total DFT energy (no corrections), the calculation gives -3.905 eV per atom. As for the density of states at the Fermi level: 0.76 states/eV per atom. As for the total magnetization: 0.00 μB/cell.

```
BeTeF3
1.0
-1.877 -1.344 3.181
2.419 -3.094 0.120
2.463 2.016 2.305
Be Te F
1 1 3
Direct
0.000 0.000 0.000 Be
0.500 0.500 0.500 Te
0.000 0.500 0.000 F
0.000 0.000 0.500 F
0.500 0.000 0.000 F
```

---

(2)
VASP calculation (PBE-GGA) on crystalline GeHBr5 at its relaxed geometry.

Results
As for the symmetry: Pnma. For the total DFT energy (no corrections), the calculation gives -2.828 eV per atom. As for the density of states at the Fermi level: 0.00 states/eV per atom. As for the total magnetization: 0.00 μB/cell.

```
GeHBr5
1.0
10.158 0.000 0.000
0.000 10.201 0.000
0.000 0.000 10.891
Ge H Br
4 4 20
Direct
0.750 0.650 0.135 Ge
0.250 0.150 0.365 Ge
0.750 0.850 0.635 Ge
0.250 0.350 0.865 Ge
0.750 0.218 0.571 H
0.250 0.718 0.929 H
0.750 0.282 0.071 H
0.250 0.782 0.429 H
0.435 0.220 0.872 Br
0.065 0.220 0.872 Br
0.565 0.780 0.128 Br
0.935 0.780 0.128 Br
0.435 0.280 0.372 Br
0.565 0.720 0.628 Br
0.935 0.720 0.628 Br
0.065 0.280 0.372 Br
0.250 0.854 0.891 Br
0.750 0.146 0.109 Br
0.250 0.646 0.391 Br
0.750 0.354 0.609 Br
0.250 0.026 0.188 Br
0.750 0.526 0.312 Br
0.750 0.974 0.812 Br
0.250 0.474 0.688 Br
0.250 0.011 0.534 Br
0.250 0.489 0.034 Br
0.750 0.989 0.466 Br
0.750 0.511 0.966 Br
```

---

(3)
VASP calculation (PBE-GGA) on crystalline LaTiNi at its relaxed geometry.

Results
As for the symmetry: Amm2. The value obtained for the energy relative to the elements is 1.0 kJ/mol of atoms. For the total DFT energy (no corrections), the calculation gives -6.191 eV per atom. As for the density of states at the Fermi level: 1.58 states/eV per atom. As for the total magnetization: 0.01 μB/cell.

```
LaTiNi
1.0
-1.497 -4.135 -1.470
1.138 1.177 2.844
-10.515 2.708 3.088
Ni La Ti
2 2 2
Direct
0.694 0.387 0.000 Ni
0.196 0.392 0.500 Ni
0.695 0.390 0.333 La
0.695 0.390 0.667 La
0.193 0.387 0.887 Ti
0.193 0.387 0.113 Ti
```